A plane-wave DFT calculation with PBE-GGA was carried out for a relaxed Sr2TiInS5 crystal.

Cell: 3.9357 8.8171 12.5022 Å, 90.00 90.00 102.90°
With the nearest neighbours (Å) after each atom.
Positions (direct):
S (0.2852, 0.5704, 0.6500)  2 Ti 2.53
S (0.6945, 0.3890, 0.8852)  1 In 2.56, 2 Ti 2.65
S (0.4950, 0.9900, 0.7707)  1 In 2.41
S (0.9410, 0.8821, 0.5636)  2 In 2.46
S (0.7148, 0.4296, 0.1501)  2 Ti 2.53
S (0.3055, 0.6110, 0.3853)  1 In 2.56, 2 Ti 2.65
S (0.3572, 0.7145, 0.0000)  1 Ti 2.37
S (0.5050, 0.0100, 0.2708)  1 In 2.41
S (0.0590, 0.1179, 0.0636)  2 In 2.46
S (0.6428, 0.2856, 0.5000)  1 Ti 2.37
In (0.5523, 0.1047, 0.9463)  4 S 2.41-2.56
In (0.4476, 0.8953, 0.4464)  4 S 2.41-2.56
Sr (0.8854, 0.7708, 0.1804)  5 S 2.96-3.06
Sr (0.8613, 0.7226, 0.8045)  8 S 3.04-3.31
Sr (0.1387, 0.2774, 0.3045)  8 S 3.04-3.31
Sr (0.1146, 0.2292, 0.6803)  5 S 2.96-3.06
Ti (0.2202, 0.4404, 0.0231)  5 S 2.37-2.65
Ti (0.7798, 0.5596, 0.5231)  5 S 2.37-2.65

Properties
V = 23.5 Å³/atom
Size of the total moment = 1.0 μB per formula unit
Uncorrected formation energy = -1.4319 eV/atom
Calculated total energy = -95.0 eV per cell
Fermi-level density of states = 3.57 states/eV/f.u.